## one
DFT (PBE) results for PrSmGd after structural relaxation.

Lattice parameters (Å, degrees): 3.6497 3.6497 8.8958 90.00 90.00 120.00
Positions (direct):
Sm 0.6667 0.3333 0.3363
Gd 0.3333 0.6667 0.6644
Pr 0.0000 0.0000 0.9993


## two
DFT (PBE) results for PrSmGd after structural relaxation.

Lattice parameters (Å, degrees): 4.2610 4.2610 6.4294 109.35 109.35 90.00
Positions (direct):
Gd 0.9470 0.9470 0.8940
Pr 0.6139 0.6139 0.2277
Sm 0.2891 0.2891 0.5783


It turns out one is the most stable, with the second structure 0.084 eV/atom higher.


## one
DFT (PBE) results for Pr2SmGd after structural relaxation.

Lattice parameters (Å, degrees): 3.6716 3.6716 10.3056 90.00 90.00 90.00
Positions (direct):
Pr 0.0000 0.0000 0.2493
Pr 0.0000 0.0000 0.7507
Gd 0.5000 0.5000 0.0000
Sm 0.5000 0.5000 0.5000


## two
DFT (PBE) results for Pr2SmGd after structural relaxation.

Lattice parameters (Å, degrees): 5.8195 5.8195 5.8195 60.00 60.00 60.00
Positions (direct):
Pr 0.2500 0.2500 0.2500
Pr 0.7500 0.7500 0.7500
Gd 0.0000 0.0000 0.0000
Sm 0.5000 0.5000 0.5000


It turns out one is the most stable, with the second structure 0.098 eV/atom higher.